First-principles (GGA-PBE) data for Ba12Ni5Ag3 after structural relaxation, as listed in the Alexandria database.

Cell and atoms, written as CIF:
```
data_Ba12Ni5Ag3
_space_group_name_H-M_alt 'I a -3 d'
_space_group_IT_number 230
_space_group_name_Hall '-I 4bd 2c 3'
_cell_length_a 18.997
_cell_length_b 18.997
_cell_length_c 18.997
_cell_angle_alpha 90.00
_cell_angle_beta 90.00
_cell_angle_gamma 90.00
loop_
_atom_site_label
_atom_site_type_symbol
_atom_site_fract_x
_atom_site_fract_y
_atom_site_fract_z
Ba1 Ba 0.029 0.059 0.650
Ni1 Ni 0.000 0.000 0.000
Ni2 Ni 0.000 0.250 0.375
Ag1 Ag 0.000 0.250 0.125
```

## Properties
N(E_F) = 0.711 states/eV/atom
raw total energy = -465.678 eV for the cell shown